# 1
The following is a PBE-GGA calculation of a relaxed Ac3La3Au4 crystal, from Alexandria via LeMat-Bulk.

The calculated formation energy comes out at -0.64 eV/atom.

The structure belongs to space group Amm2 (No. 38); the cell edges are 4.132, 12.285 and 12.324 Å and the angles 90.00°, 90.00° and 90.00°. Symmetry generates all atoms from Ac at (0.000, 0.000, 0.000), Ac at (0.000, 0.165, 0.660), La at (0.000, 0.000, 0.326), La at (0.500, 0.247, 0.409), Au at (0.500, 0.000, 0.526), Au at (0.500, 0.000, 0.792) and Au at (0.500, 0.128, 0.167).

# 2
The following is a PBE-GGA calculation of a relaxed Na2AcThS4 crystal, from Alexandria via LeMat-Bulk.

Its formation energy from raw total energies is -13.539 eV/f.u.

The structure belongs to space group P2/m (No. 10); the cell edges are 7.186, 4.178 and 7.293 Å and the angles 90.00°, 109.56° and 90.00°. Symmetry generates all atoms from Na at (0.000, 0.000, 0.000), Na at (0.000, 0.500, 0.500), Ac at (0.500, 0.000, 0.500), Th at (0.500, 0.500, 0.000), S at (0.255, 0.500, 0.235) and S at (0.263, 0.000, 0.768).

# 3
The following is a PBE-GGA calculation of a relaxed BiH2Se2 crystal, from Alexandria via LeMat-Bulk.

The structure belongs to space group P4/mbm (No. 127); the cell edges are 8.271, 8.271 and 2.993 Å and the angles 90.00°, 90.00° and 90.00°. Symmetry generates all atoms from Bi at (0.000, 0.000, 0.000), H at (0.032, 0.468, 0.500) and Se at (0.249, 0.251, 0.000).

# 4
The following is a PBE-GGA calculation of a relaxed FeAgTe4 crystal, from Alexandria via LeMat-Bulk.

Its formation energy from raw total energies is 5.454 eV/f.u.

The structure belongs to space group F-43m (No. 216); the cell edges are 8.904, 8.904 and 8.904 Å and the angles 90.00°, 90.00° and 90.00°. Symmetry generates all atoms from Fe at (0.000, 0.000, 0.000), Ag at (0.250, 0.250, 0.250) and Te at (0.125, 0.125, 0.625).

# 5
The following is a PBE-GGA calculation of a relaxed Ca2Ac4Ho crystal, from Alexandria via LeMat-Bulk.

The calculated formation energy comes out at 0.28 eV/atom.

The structure belongs to space group Cmmm (No. 65); the cell edges are 3.797, 28.674 and 6.231 Å and the angles 90.00°, 90.00° and 90.00°. Symmetry generates all atoms from Ca at (0.000, 0.190, 0.000), Ac at (0.000, 0.113, 0.500), Ac at (0.000, 0.432, 0.000) and Ho at (0.000, 0.500, 0.500).

# 6
The following is a PBE-GGA calculation of a relaxed Cs4Mg3H10 crystal, from Alexandria via LeMat-Bulk.

The structure belongs to space group Cmce (No. 64); the cell edges are 6.234, 14.665 and 13.716 Å and the angles 90.00°, 90.00° and 90.00°. Symmetry generates all atoms from Cs at (0.000, 0.045, 0.139), Cs at (0.000, 0.245, 0.393), Mg at (0.000, 0.000, 0.500), Mg at (0.000, 0.118, 0.656), H at (0.000, 0.024, 0.358), H at (0.000, 0.247, 0.647), H at (0.207, 0.095, 0.539) and H at (0.250, 0.109, 0.750).

# 7
The following is a PBE-GGA calculation of a relaxed ZnSb3Pt crystal, from Alexandria via LeMat-Bulk.

Its formation energy from raw total energies is 2.486 eV/f.u.

The structure belongs to space group Pm-3m (No. 221); the cell edges are 5.299, 5.299 and 5.299 Å and the angles 90.00°, 90.00° and 90.00°. Symmetry generates all atoms from Zn at (0.000, 0.000, 0.000), Sb at (0.000, 0.500, 0.500) and Pt at (0.500, 0.500, 0.500).

# 8
The following is a PBE-GGA calculation of a relaxed NiRh2 crystal, from Alexandria via LeMat-Bulk.

The calculated formation energy comes out at 0.20 eV/atom.

The structure belongs to space group I4/mcm (No. 140); the cell edges are 5.948, 5.948 and 4.676 Å and the angles 90.00°, 90.00° and 90.00°. Symmetry generates all atoms from Ni at (0.000, 0.000, 0.250) and Rh at (0.153, 0.347, 0.000).

# 9
The following is a PBE-GGA calculation of a relaxed PaAsF crystal, from Alexandria via LeMat-Bulk.

Its formation energy from raw total energies is -5.982 eV/f.u.

The structure belongs to space group Pnma (No. 62); the cell edges are 6.871, 3.842 and 8.763 Å and the angles 90.00°, 90.00° and 90.00°. Symmetry generates all atoms from Pa at (0.234, 0.250, 0.117), As at (0.041, 0.750, 0.326) and F at (0.117, 0.750, 0.964).

# 10
The following is a PBE-GGA calculation of a relaxed NpTi2Ru crystal, from Alexandria via LeMat-Bulk.

The calculated formation energy comes out at -0.18 eV/atom.

The structure belongs to space group P4/mmm (No. 123); the cell edges are 3.041, 3.041 and 7.394 Å and the angles 90.00°, 90.00° and 90.00°. Symmetry generates all atoms from Np at (0.000, 0.000, 0.000), Ti at (0.500, 0.500, 0.290) and Ru at (0.000, 0.000, 0.500).

# 11
The following is a PBE-GGA calculation of a relaxed Pt3C4 crystal, from Alexandria via LeMat-Bulk.

The calculated formation energy comes out at 1.39 eV/atom.

The structure belongs to space group P-43m (No. 215); the cell edges are 4.736, 4.736 and 4.736 Å and the angles 90.00°, 90.00° and 90.00°. Symmetry generates all atoms from Pt at (0.000, 0.000, 0.500) and C at (0.227, 0.227, 0.227).

# 12
The following is a PBE-GGA calculation of a relaxed Ce5TcSn2 crystal, from Alexandria via LeMat-Bulk.

The calculated formation energy comes out at 0.04 eV/atom.

The structure belongs to space group Cmcm (No. 63); the cell edges are 5.355, 16.942 and 12.123 Å and the angles 90.00°, 90.00° and 90.00°. Symmetry generates all atoms from Ce at (0.000, 0.056, 0.098), Ce at (0.000, 0.276, 0.052), Ce at (0.000, 0.310, 0.750), Tc at (0.000, 0.163, 0.250) and Sn at (0.000, 0.134, 0.632).

Number 1: energy -93.2 eV/cell, volume 31.28 Å³/atom. Number 2: energy -44.2 eV/cell, volume 25.79 Å³/atom. Number 3: energy -33.9 eV/cell, volume 20.47 Å³/atom. Number 4: energy -73.7 eV/cell, volume 29.42 Å³/atom. Number 5: energy -46.1 eV/cell, volume 48.46 Å³/atom. Number 6: energy -184.7 eV/cell, volume 18.44 Å³/atom. Number 7: energy -17.2 eV/cell, volume 29.77 Å³/atom. Number 8: energy -79.5 eV/cell, volume 13.79 Å³/atom. Number 9: energy -88.0 eV/cell, volume 19.28 Å³/atom. Number 10: energy -38.7 eV/cell, volume 17.09 Å³/atom. Number 11: energy -45.3 eV/cell, volume 15.18 Å³/atom. Number 12: energy -190.8 eV/cell, volume 34.37 Å³/atom.